No. 1
First-principles (GGA-PBE) data for crystalline ZrReSe at its relaxed geometry, as listed in OQMD.

The energy is -74.50 eV for the cell shown.

The structure belongs to space group P3m1 (No. 156); the cell edges are 4.5875, 4.5875 and 9.2441 Å and the angles 90.00°, 90.00° and 120.00°. Symmetry generates all atoms from Zr at (0.0000, 0.0000, 0.0000), Zr at (0.0000, 0.0000, 0.3259), Zr at (0.0000, 0.0000, 0.6637), Re at (0.3333, 0.6667, 0.2041), Re at (0.6667, 0.3333, 0.5941), Re at (0.6667, 0.3333, 0.8430), Se at (0.3333, 0.6667, 0.4856), Se at (0.3333, 0.6667, 0.9259) and Se at (0.6667, 0.3333, 0.1701).

---

No. 2
First-principles (GGA-PBE) data for crystalline RbLaMo at its relaxed geometry, as listed in OQMD.

The energy is -47.45 eV for the cell shown.

The structure belongs to space group F-43m (No. 216); the cell edges are 7.586, 7.586 and 7.586 Å and the angles 90.00°, 90.00° and 90.00°. Symmetry generates all atoms from Rb at (0.000, 0.000, 0.000), La at (0.000, 0.000, 0.500) and Mo at (0.250, 0.250, 0.750).

---

No. 3
First-principles (GGA-PBE) data for crystalline HfCdGaCo at its relaxed geometry, as listed in OQMD.

The energy is -83.08 eV for the cell shown.

The structure belongs to space group F-43m (No. 216); the cell edges are 6.411, 6.411 and 6.411 Å and the angles 90.00°, 90.00° and 90.00°. Symmetry generates all atoms from Hf at (0.000, 0.000, 0.000), Cd at (0.250, 0.250, 0.750), Ga at (0.250, 0.250, 0.250) and Co at (0.000, 0.000, 0.500).